Entry from the Alexandria database: a relaxed Ge2Au crystal (PBE-GGA).

```
Ge2Au
1.0
6.246 0.000 0.000
0.000 4.914 0.000
-1.056 0.000 3.744
Ge Au
4 2
direct
0.166 0.000 0.336
0.334 0.500 0.664
0.666 0.500 0.336
0.834 0.000 0.664
0.000 0.500 0.000
0.500 0.000 0.000
```

Computed properties:
Symmetry: C2/m

---

Entry from the Alexandria database: a relaxed LiScAu2 crystal (PBE-GGA).

```
LiScAu2
1.0
4.041 0.000 0.000
0.000 4.041 0.000
0.000 0.000 8.579
Li Sc Au
2 2 4
direct
0.000 0.000 0.000
0.500 0.500 0.500
0.000 0.500 0.250
0.500 0.000 0.750
0.000 0.000 0.500
0.000 0.500 0.750
0.500 0.000 0.250
0.500 0.500 0.000
```

Computed properties:
Symmetry: I-4m2
Energy above the lowest structure with this stoichiometry in meV/atom: 56

---

Number 1: energy of formation from the pure elements 0.14 eV/atom. Number 2: energy of formation from the pure elements -0.63 eV/atom.